[1]
# Tb2PmOs | Alexandria via LeMat-Bulk | GGA-PBE | relaxed
# Formation energy from the elements = 0.2734 eV/atom
# Energy relative to the lowest polymorph listed for this composition = 475.2 meV/atom
data_Tb2PmOs
_chemical_formula_sum 'Tb6 Pm3 Os3'
_symmetry_space_group_name_H-M 'R -3 m'
_symmetry_Int_Tables_number 166
_symmetry_space_group_name_Hall '-R 3 2"'
_cell_length_a 3.5006
_cell_length_b 3.5006
_cell_length_c 32.9191
_cell_angle_alpha 90.00
_cell_angle_beta 90.00
_cell_angle_gamma 120.00
loop_
_atom_site_label
_atom_site_fract_x
_atom_site_fract_y
_atom_site_fract_z
Tb1 0.0000 0.0000 0.1071
Pm1 0.0000 0.0000 0.0000
Os1 0.0000 0.0000 0.5000

[2]
# Li2Tl3CuF8 | Alexandria via LeMat-Bulk | GGA-PBE | relaxed
# Raw formation energy = -1.98 eV per atom
data_Li2Tl3CuF8
_chemical_formula_sum 'Li2 Tl3 Cu1 F8'
_symmetry_space_group_name_H-M 'P -3 m 1'
_symmetry_Int_Tables_number 164
_symmetry_space_group_name_Hall '-P 3 2"'
_cell_length_a 5.8273
_cell_length_b 5.8273
_cell_length_c 7.5470
_cell_angle_alpha 90.00
_cell_angle_beta 90.00
_cell_angle_gamma 120.00
loop_
_atom_site_label
_atom_site_fract_x
_atom_site_fract_y
_atom_site_fract_z
Li1 0.3333 0.6667 0.2472
Tl1 0.0000 0.0000 0.0000
Tl2 0.3333 0.6667 0.6911
Cu1 0.0000 0.0000 0.5000
F1 0.1575 0.3150 0.3436
F2 0.3333 0.6667 0.0072

[3]
# NiMoAs2 | Alexandria via LeMat-Bulk | GGA-PBE | relaxed
# Formation energy from the elements = -0.0026 eV/atom
data_NiMoAs2
_chemical_formula_sum 'Ni1 Mo1 As2'
_symmetry_space_group_name_H-M 'P 4 m m'
_symmetry_Int_Tables_number 99
_symmetry_space_group_name_Hall 'P 4 -2'
_cell_length_a 2.858
_cell_length_b 2.858
_cell_length_c 8.644
_cell_angle_alpha 90.00
_cell_angle_beta 90.00
_cell_angle_gamma 90.00
loop_
_atom_site_label
_atom_site_fract_x
_atom_site_fract_y
_atom_site_fract_z
Ni1 0.000 0.000 0.000
Mo1 0.500 0.500 0.802
As1 0.000 0.000 0.586
As2 0.500 0.500 0.168

[4]
# BaCd2GeIr | Alexandria via LeMat-Bulk | GGA-PBE | relaxed
# Formation energy from the elements = -0.2814 eV/atom
data_BaCd2GeIr
_chemical_formula_sum 'Ba1 Cd2 Ge1 Ir1'
_symmetry_space_group_name_H-M 'P 4/m m m'
_symmetry_Int_Tables_number 123
_symmetry_space_group_name_Hall '-P 4 2'
_cell_length_a 5.304
_cell_length_b 5.304
_cell_length_c 4.769
_cell_angle_alpha 90.00
_cell_angle_beta 90.00
_cell_angle_gamma 90.00
loop_
_atom_site_label
_atom_site_fract_x
_atom_site_fract_y
_atom_site_fract_z
Ba1 0.000 0.000 0.000
Cd1 0.000 0.500 0.500
Ge1 0.500 0.500 0.000
Ir1 0.500 0.500 0.500

[5]
# Ac6GaGe3 | Alexandria via LeMat-Bulk | GGA-PBE | relaxed
# Formation energy from the elements = -0.4651 eV/atom
data_Ac6GaGe3
_chemical_formula_sum 'Ac12 Ga2 Ge6'
_symmetry_space_group_name_H-M 'P 1 21/c 1'
_symmetry_Int_Tables_number 14
_symmetry_space_group_name_Hall '-P 2ybc'
_cell_length_a 6.760
_cell_length_b 8.826
_cell_length_c 13.818
_cell_angle_alpha 90.00
_cell_angle_beta 119.01
_cell_angle_gamma 90.00
loop_
_atom_site_label
_atom_site_fract_x
_atom_site_fract_y
_atom_site_fract_z
Ac1 0.056 0.172 0.420
Ac2 0.283 0.676 0.418
Ac3 0.389 0.045 0.251
Ga1 0.000 0.000 0.000
Ge1 0.164 0.118 0.751
Ge2 0.500 0.000 0.500

[6]
# B2C | Alexandria via LeMat-Bulk | GGA-PBE | relaxed
# Formation energy from the elements = 0.2465 eV/atom
# Energy relative to the lowest polymorph listed for this composition = 61.2 meV/atom
data_B2C
_chemical_formula_sum 'B16 C8'
_symmetry_space_group_name_H-M 'C 1 2/m 1'
_symmetry_Int_Tables_number 12
_symmetry_space_group_name_Hall '-C 2y'
_cell_length_a 13.694
_cell_length_b 2.717
_cell_length_c 5.447
_cell_angle_alpha 90.00
_cell_angle_beta 94.49
_cell_angle_gamma 90.00
loop_
_atom_site_label
_atom_site_fract_x
_atom_site_fract_y
_atom_site_fract_z
B1 0.080 0.000 0.308
B2 0.085 0.500 0.703
B3 0.167 0.000 0.112
B4 0.242 0.000 0.883
C1 0.040 0.500 0.398
C2 0.130 0.000 0.801

no.,density of states at the Fermi level (states/eV per cell)
1,18.37
2,9.61
3,1.12
4,3.52
5,15.96
6,3.08